Entry 1:
Computed, not measured: crystalline Nb2GeBiOs at its relaxed geometry at the PBE level of DFT.

Cell: 4.746 4.746 5.168 Å, 90.00 90.00 90.00°
Positions (direct):
1 Nb 0.000 0.500 0.000
2 Nb 0.500 0.000 0.000
3 Ge 0.000 0.000 0.000
4 Bi 0.000 0.000 0.500
5 Os 0.500 0.500 0.500

crystal system: tetragonal
DFT formation energy: 1.6539 eV/atom
electronic total energy: -6.32 eV/atom
N(E_F): 1.606 states/eV/atom

---

Entry 2:
Computed, not measured: crystalline Sc2NbGeBi at its relaxed geometry at the PBE level of DFT.

Cell: 5.163 5.163 4.981 Å, 90.00 90.00 90.00°
Positions (direct):
1 Sc 0.000 0.500 0.000
2 Sc 0.500 0.000 0.000
3 Nb 0.000 0.000 0.000
4 Ge 0.000 0.000 0.500
5 Bi 0.500 0.500 0.500

crystal system: tetragonal
DFT formation energy: 0.3565 eV/atom
electronic total energy: -5.89 eV/atom
N(E_F): 1.060 states/eV/atom

---

Entry 3:
Computed, not measured: crystalline NbVGeBi2 at its relaxed geometry at the PBE level of DFT.

Cell: 5.285 5.285 4.745 Å, 90.00 90.00 90.00°
Positions (direct):
1 Nb 0.000 0.000 0.000
2 V 0.500 0.500 0.500
3 Ge 0.500 0.500 0.000
4 Bi 0.000 0.500 0.500
5 Bi 0.500 0.000 0.500

crystal system: tetragonal
DFT formation energy: 0.9316 eV/atom
electronic total energy: -5.38 eV/atom
N(E_F): 2.438 states/eV/atom

---

Entry 4:
Computed, not measured: crystalline NdGeBi2 at its relaxed geometry at the PBE level of DFT.

Cell: 4.712 4.712 5.090 Å, 90.00 90.00 90.00°
Positions (direct):
1 Nd 0.000 0.000 0.000
2 Ge 0.500 0.500 0.000
3 Bi 0.000 0.500 0.500
4 Bi 0.500 0.000 0.500

crystal system: tetragonal
DFT formation energy: -0.3619 eV/atom
electronic total energy: -4.65 eV/atom
N(E_F): 0.616 states/eV/atom

---

Entry 5:
Computed, not measured: crystalline Nd5Ge2Bi2 at its relaxed geometry at the PBE level of DFT.

Cell: 8.970 8.970 8.289 Å, 90.00 90.00 54.89°
Positions (direct):
1 Nd 0.000 0.000 0.000
2 Nd 0.041 0.708 0.665
3 Nd 0.208 0.541 0.165
4 Nd 0.292 0.959 0.665
5 Nd 0.459 0.792 0.165
6 Nd 0.500 0.500 0.500
7 Nd 0.541 0.208 0.835
8 Nd 0.708 0.041 0.335
9 Nd 0.792 0.459 0.835
10 Nd 0.959 0.292 0.335
11 Ge 0.136 0.864 0.365
12 Ge 0.364 0.636 0.865
13 Ge 0.636 0.364 0.135
14 Ge 0.864 0.136 0.635
15 Bi 0.207 0.207 0.000
16 Bi 0.293 0.293 0.500
17 Bi 0.707 0.707 0.500
18 Bi 0.793 0.793 0.000

crystal system: orthorhombic
DFT formation energy: -0.8579 eV/atom
electronic total energy: -5.40 eV/atom
N(E_F): 0.716 states/eV/atom

---

Entry 6:
Computed, not measured: crystalline Nd8GeBi5 at its relaxed geometry at the PBE level of DFT.

Cell: 8.327 8.327 8.327 Å, 109.83 109.83 108.75°
Positions (direct):
1 Nd 0.023 0.629 0.744
2 Nd 0.230 0.499 0.125
3 Nd 0.371 0.115 0.394
4 Nd 0.374 0.105 0.875
5 Nd 0.501 0.626 0.732
6 Nd 0.721 0.977 0.606
7 Nd 0.885 0.279 0.256
8 Nd 0.895 0.770 0.268
9 Ge 0.250 0.750 0.500
10 Bi 0.000 0.000 0.000
11 Bi 0.124 0.251 0.634
12 Bi 0.510 0.876 0.127
13 Bi 0.617 0.490 0.366
14 Bi 0.749 0.383 0.873

crystal system: tetragonal
DFT formation energy: -0.8289 eV/atom
electronic total energy: -5.27 eV/atom
N(E_F): 1.094 states/eV/atom

---

Entry 7:
Computed, not measured: crystalline Nd3GeBi2 at its relaxed geometry at the PBE level of DFT.

Cell: 7.805 7.805 7.766 Å, 99.60 99.60 119.71°
Positions (direct):
1 Nd 0.000 0.500 0.000
2 Nd 0.152 0.308 0.495
3 Nd 0.308 0.152 0.995
4 Nd 0.500 0.000 0.500
5 Nd 0.692 0.848 0.005
6 Nd 0.848 0.692 0.505
7 Ge 0.088 0.912 0.250
8 Ge 0.912 0.088 0.750
9 Bi 0.257 0.743 0.750
10 Bi 0.418 0.582 0.250
11 Bi 0.582 0.418 0.750
12 Bi 0.743 0.257 0.250

crystal system: monoclinic
DFT formation energy: -0.8352 eV/atom
electronic total energy: -5.28 eV/atom
N(E_F): 0.516 states/eV/atom

---

Entry 8:
Computed, not measured: crystalline Nd8GeBi2 at its relaxed geometry at the PBE level of DFT.

Cell: 9.854 9.854 7.901 Å, 93.28 93.28 28.21°
Positions (direct):
1 Nd 0.003 0.003 0.235
2 Nd 0.216 0.216 0.363
3 Nd 0.344 0.344 0.951
4 Nd 0.404 0.404 0.481
5 Nd 0.596 0.596 0.519
6 Nd 0.656 0.656 0.049
7 Nd 0.784 0.784 0.637
8 Nd 0.997 0.997 0.765
9 Ge 0.500 0.500 0.000
10 Bi 0.175 0.175 0.778
11 Bi 0.825 0.825 0.222

crystal system: monoclinic
DFT formation energy: -0.4267 eV/atom
electronic total energy: -5.02 eV/atom
N(E_F): 1.417 states/eV/atom

---

Entry 9:
Computed, not measured: crystalline NdGeBi2 at its relaxed geometry at the PBE level of DFT.

Cell: 10.544 10.544 10.544 Å, 20.87 20.87 20.87°
Positions (direct):
1 Nd 0.000 0.000 0.000
2 Ge 0.500 0.500 0.500
3 Bi 0.104 0.104 0.104
4 Bi 0.896 0.896 0.896

crystal system: trigonal
DFT formation energy: 0.1987 eV/atom
electronic total energy: -4.09 eV/atom
N(E_F): 0.668 states/eV/atom

---

Entry 10:
Computed, not measured: crystalline Nd2Ge2Bi at its relaxed geometry at the PBE level of DFT.

Cell: 7.780 7.780 4.274 Å, 90.00 90.00 149.29°
Positions (direct):
1 Nd 0.136 0.864 0.000
2 Nd 0.864 0.136 0.000
3 Ge 0.302 0.698 0.500
4 Ge 0.698 0.302 0.500
5 Bi 0.500 0.500 0.500

crystal system: orthorhombic
DFT formation energy: -0.7445 eV/atom
electronic total energy: -5.27 eV/atom
N(E_F): 0.433 states/eV/atom

---

Entry 11:
Computed, not measured: crystalline Nd7Ge2Bi2 at its relaxed geometry at the PBE level of DFT.

Cell: 7.364 7.364 6.900 Å, 90.00 90.00 101.19°
Positions (direct):
1 Nd 0.000 0.000 0.000
2 Nd 0.000 0.500 0.262
3 Nd 0.000 0.500 0.738
4 Nd 0.500 0.000 0.262
5 Nd 0.500 0.000 0.738
6 Nd 0.500 0.500 0.242
7 Nd 0.500 0.500 0.758
8 Ge 0.270 0.730 0.000
9 Ge 0.730 0.270 0.000
10 Bi 0.192 0.192 0.500
11 Bi 0.808 0.808 0.500

crystal system: orthorhombic
DFT formation energy: -0.4679 eV/atom
electronic total energy: -5.05 eV/atom
N(E_F): 1.123 states/eV/atom

---

Entry 12:
Computed, not measured: crystalline Nd4GeBi at its relaxed geometry at the PBE level of DFT.

Cell: 8.403 8.403 6.316 Å, 102.38 102.38 115.13°
Positions (direct):
1 Nd 0.077 0.713 0.935
2 Nd 0.211 0.371 0.662
3 Nd 0.287 0.923 0.565
4 Nd 0.371 0.211 0.162
5 Nd 0.629 0.789 0.838
6 Nd 0.713 0.077 0.435
7 Nd 0.789 0.629 0.338
8 Nd 0.923 0.287 0.065
9 Ge 0.001 0.999 0.250
10 Ge 0.999 0.001 0.750
11 Bi 0.380 0.620 0.250
12 Bi 0.620 0.380 0.750

crystal system: monoclinic
DFT formation energy: -0.5810 eV/atom
electronic total energy: -5.18 eV/atom
N(E_F): 1.168 states/eV/atom

---

Entry 13:
Computed, not measured: crystalline Nd4GeBi3 at its relaxed geometry at the PBE level of DFT.

Cell: 7.886 9.072 7.820 Å, 90.00 109.59 90.00°
Positions (direct):
1 Nd 0.234 0.116 0.001
2 Nd 0.234 0.884 0.501
3 Nd 0.242 0.365 0.491
4 Nd 0.242 0.635 0.991
5 Nd 0.758 0.365 0.009
6 Nd 0.758 0.635 0.509
7 Nd 0.766 0.116 0.499
8 Nd 0.766 0.884 0.999
9 Ge 0.000 0.124 0.250
10 Ge 0.000 0.876 0.750
11 Bi 0.000 0.375 0.750
12 Bi 0.000 0.625 0.250
13 Bi 0.500 0.125 0.750
14 Bi 0.500 0.376 0.250
15 Bi 0.500 0.624 0.750
16 Bi 0.500 0.875 0.250

crystal system: monoclinic
DFT formation energy: -0.8647 eV/atom
electronic total energy: -5.28 eV/atom
N(E_F): 0.527 states/eV/atom

---

Entry 14:
Computed, not measured: crystalline NdGe4Bi at its relaxed geometry at the PBE level of DFT.

Cell: 5.755 5.755 5.755 Å, 60.00 60.00 60.00°
Positions (direct):
1 Nd 0.000 0.000 0.000
2 Ge 0.124 0.625 0.625
3 Ge 0.625 0.124 0.625
4 Ge 0.625 0.625 0.124
5 Ge 0.625 0.625 0.625
6 Bi 0.250 0.250 0.250

crystal system: cubic
DFT formation energy: -0.1602 eV/atom
electronic total energy: -4.68 eV/atom
N(E_F): 0.470 states/eV/atom

---

Entry 15:
Computed, not measured: crystalline NdGeBi2O8 at its relaxed geometry at the PBE level of DFT.

Cell: 5.075 5.075 7.205 Å, 90.00 90.00 120.00°
Positions (direct):
1 Nd 0.000 0.000 0.000
2 Ge 0.000 0.000 0.500
3 Bi 0.333 0.667 0.315
4 Bi 0.667 0.333 0.685
5 O 0.159 0.318 0.678
6 O 0.159 0.841 0.678
7 O 0.318 0.159 0.322
8 O 0.333 0.667 0.034
9 O 0.667 0.333 0.966
10 O 0.682 0.841 0.678
11 O 0.841 0.159 0.322
12 O 0.841 0.682 0.322

crystal system: trigonal
E_form (uncorrected): -1159 meV per atom
electronic total energy: -5.89 eV/atom
N(E_F): 0.314 states/eV/atom

---

Entry 16:
Computed, not measured: crystalline NdGe2Bi2Pd7 at its relaxed geometry at the PBE level of DFT.

Cell: 4.108 4.108 14.264 Å, 95.13 95.13 89.50°
Positions (direct):
1 Nd 0.000 0.000 0.000
2 Ge 0.421 0.421 0.744
3 Ge 0.579 0.579 0.256
4 Bi 0.119 0.119 0.381
5 Bi 0.881 0.881 0.619
6 Pd 0.048 0.547 0.155
7 Pd 0.347 0.347 0.568
8 Pd 0.453 0.952 0.845
9 Pd 0.500 0.500 0.000
10 Pd 0.547 0.048 0.155
11 Pd 0.653 0.653 0.432
12 Pd 0.952 0.453 0.845

crystal system: monoclinic
DFT formation energy: -0.4272 eV/atom
electronic total energy: -5.27 eV/atom
N(E_F): 0.355 states/eV/atom

---

Entry 17:
Computed, not measured: crystalline Nd2Ge3BiPd4 at its relaxed geometry at the PBE level of DFT.

Cell: 4.396 4.396 10.752 Å, 90.00 90.00 90.00°
Positions (direct):
1 Nd 0.000 0.500 0.229
2 Nd 0.500 0.000 0.771
3 Ge 0.000 0.500 0.880
4 Ge 0.500 0.000 0.120
5 Ge 0.500 0.500 0.500
6 Bi 0.000 0.000 0.500
7 Pd 0.000 0.000 0.000
8 Pd 0.000 0.500 0.653
9 Pd 0.500 0.000 0.347
10 Pd 0.500 0.500 0.000

crystal system: tetragonal
DFT formation energy: -0.7297 eV/atom
electronic total energy: -5.53 eV/atom
N(E_F): 0.548 states/eV/atom

---

Entry 18:
Computed, not measured: crystalline NdGe2Bi2Pt7 at its relaxed geometry at the PBE level of DFT.

Cell: 4.052 4.052 15.841 Å, 97.30 97.30 89.97°
Positions (direct):
1 Nd 0.000 0.000 0.000
2 Ge 0.383 0.383 0.761
3 Ge 0.617 0.617 0.239
4 Bi 0.211 0.211 0.422
5 Bi 0.789 0.789 0.578
6 Pt 0.071 0.571 0.145
7 Pt 0.301 0.301 0.604
8 Pt 0.429 0.929 0.855
9 Pt 0.500 0.500 0.000
10 Pt 0.571 0.071 0.145
11 Pt 0.699 0.699 0.396
12 Pt 0.929 0.429 0.855

crystal system: monoclinic
DFT formation energy: -0.5205 eV/atom
electronic total energy: -5.86 eV/atom
N(E_F): 0.384 states/eV/atom

---

Entry 19:
Computed, not measured: crystalline Nd6Ge2BiS3 at its relaxed geometry at the PBE level of DFT.

Cell: 9.484 9.484 8.516 Å, 102.06 102.06 25.98°
Positions (direct):
1 Nd 0.002 0.002 0.270
2 Nd 0.326 0.326 0.908
3 Nd 0.332 0.332 0.416
4 Nd 0.668 0.668 0.584
5 Nd 0.674 0.674 0.092
6 Nd 0.998 0.998 0.730
7 Ge 0.167 0.167 0.335
8 Ge 0.833 0.833 0.665
9 Bi 0.500 0.500 0.000
10 S 0.165 0.165 0.834
11 S 0.500 0.500 0.500
12 S 0.835 0.835 0.166

crystal system: monoclinic
E_form (uncorrected): -1437 meV per atom
electronic total energy: -5.95 eV/atom
N(E_F): 0.194 states/eV/atom

---

Entry 20:
Computed, not measured: crystalline Nd6Ge2BiSe3 at its relaxed geometry at the PBE level of DFT.

Cell: 9.673 9.673 8.694 Å, 102.36 102.36 25.90°
Positions (direct):
1 Nd 0.005 0.005 0.264
2 Nd 0.328 0.328 0.902
3 Nd 0.330 0.330 0.421
4 Nd 0.670 0.670 0.579
5 Nd 0.672 0.672 0.098
6 Nd 0.995 0.995 0.736
7 Ge 0.167 0.167 0.335
8 Ge 0.833 0.833 0.665
9 Bi 0.500 0.500 0.000
10 Se 0.165 0.165 0.834
11 Se 0.500 0.500 0.500
12 Se 0.835 0.835 0.166

crystal system: monoclinic
E_form (uncorrected): -1396 meV per atom
electronic total energy: -5.74 eV/atom
N(E_F): 0.189 states/eV/atom

---

Entry 21:
Computed, not measured: crystalline Nd4GeBiTe2 at its relaxed geometry at the PBE level of DFT.

Cell: 7.787 4.475 7.802 Å, 90.00 109.24 90.00°
Positions (direct):
1 Nd 0.230 0.000 0.231
2 Nd 0.237 0.500 0.761
3 Nd 0.763 0.500 0.239
4 Nd 0.770 0.000 0.769
5 Ge 0.000 0.500 0.000
6 Bi 0.000 0.000 0.500
7 Te 0.500 0.000 0.000
8 Te 0.500 0.500 0.500

crystal system: monoclinic
E_form (uncorrected): -1223 meV per atom
electronic total energy: -5.46 eV/atom
N(E_F): 0.208 states/eV/atom

---

Entry 22:
Computed, not measured: crystalline Nd6GeBi2Te3 at its relaxed geometry at the PBE level of DFT.

Cell: 10.108 10.108 9.061 Å, 102.78 102.78 25.73°
Positions (direct):
1 Nd 0.001 0.001 0.274
2 Nd 0.334 0.334 0.918
3 Nd 0.345 0.345 0.422
4 Nd 0.655 0.655 0.578
5 Nd 0.666 0.666 0.082
6 Nd 0.999 0.999 0.726
7 Ge 0.500 0.500 0.500
8 Bi 0.167 0.167 0.834
9 Bi 0.833 0.833 0.166
10 Te 0.170 0.170 0.336
11 Te 0.500 0.500 0.000
12 Te 0.830 0.830 0.664

crystal system: monoclinic
E_form (uncorrected): -1221 meV per atom
electronic total energy: -5.42 eV/atom
N(E_F): 0.367 states/eV/atom

---

Entry 23:
Computed, not measured: crystalline Ni3GeBi at its relaxed geometry at the PBE level of DFT.

Cell: 4.764 4.764 4.764 Å, 90.00 90.00 90.00°
Positions (direct):
1 Ni 0.000 0.000 0.500
2 Ni 0.000 0.500 0.000
3 Ni 0.500 0.000 0.000
4 Ge 0.500 0.500 0.500
5 Bi 0.000 0.000 0.000

crystal system: cubic
DFT formation energy: 1.0870 eV/atom
electronic total energy: -4.08 eV/atom
N(E_F): 0.698 states/eV/atom